# PBE SrIn2Ga, optimized geometry
# Density of states at the Fermi level = 3.8 states/eV/f.u.
# Final energy = -9.49 eV/f.u.
data_SrIn2Ga
_cell_length_a 11.259
_cell_length_b 11.259
_cell_length_c 11.259
_cell_angle_alpha 18.71
_cell_angle_beta 18.71
_cell_angle_gamma 18.71
_symmetry_space_group_name_H-M 'P 1'
_symmetry_Int_Tables_number 1
loop_
_symmetry_equiv_pos_as_xyz
'x,y,z'
loop_
_atom_site_label
_atom_site_fract_x
_atom_site_fract_y
_atom_site_fract_z
Sr1 0.000 0.000 0.000
In1 0.102 0.102 0.102
In2 0.898 0.898 0.898
Ga1 0.500 0.500 0.500

# PBE RbMg6Mo, optimized geometry
# Energy above the most stable polymorph in this dataset = 0 meV per atom
# Density of states at the Fermi level = 6.0 states/eV/f.u.
data_RbMg6Mo
_cell_length_a 6.986
_cell_length_b 6.986
_cell_length_c 4.119
_cell_angle_alpha 90.00
_cell_angle_beta 90.00
_cell_angle_gamma 90.00
_symmetry_space_group_name_H-M 'P 1'
_symmetry_Int_Tables_number 1
loop_
_symmetry_equiv_pos_as_xyz
'x,y,z'
loop_
_atom_site_label
_atom_site_fract_x
_atom_site_fract_y
_atom_site_fract_z
Rb1 0.000 0.000 0.000
Mg1 0.000 0.500 0.000
Mg2 0.296 0.296 0.500
Mg3 0.296 0.704 0.500
Mg4 0.500 0.000 0.000
Mg5 0.704 0.296 0.500
Mg6 0.704 0.704 0.500
Mo1 0.500 0.500 0.000

# PBE ErAlGa4, optimized geometry
# Energy above the most stable polymorph in this dataset = 0 meV per atom
# Density of states at the Fermi level = 2.1 states/eV/f.u.
data_ErAlGa4
_cell_length_a 5.750
_cell_length_b 5.750
_cell_length_c 6.312
_cell_angle_alpha 122.78
_cell_angle_beta 122.78
_cell_angle_gamma 42.03
_symmetry_space_group_name_H-M 'P 1'
_symmetry_Int_Tables_number 1
loop_
_symmetry_equiv_pos_as_xyz
'x,y,z'
loop_
_atom_site_label
_atom_site_fract_x
_atom_site_fract_y
_atom_site_fract_z
Er1 0.000 0.000 0.000
Al1 0.000 0.000 0.500
Ga1 0.338 0.338 0.122
Ga2 0.340 0.340 0.559
Ga3 0.660 0.660 0.441
Ga4 0.662 0.662 0.878

# PBE CoTeRu2, optimized geometry
# Density of states at the Fermi level = 4.7 states/eV/f.u.
# Formation energy (no corrections) = 326 meV/atom
data_CoTeRu2
_cell_length_a 3.912
_cell_length_b 3.912
_cell_length_c 3.829
_cell_angle_alpha 90.00
_cell_angle_beta 90.00
_cell_angle_gamma 90.00
_symmetry_space_group_name_H-M 'P 1'
_symmetry_Int_Tables_number 1
loop_
_symmetry_equiv_pos_as_xyz
'x,y,z'
loop_
_atom_site_label
_atom_site_fract_x
_atom_site_fract_y
_atom_site_fract_z
Co1 0.000 0.000 0.000
Te1 0.500 0.500 0.000
Ru1 0.000 0.500 0.500
Ru2 0.500 0.000 0.500

# PBE ZrIr2C, optimized geometry
# Energy above the most stable polymorph in this dataset = 0 meV per atom
# Density of states at the Fermi level = 2.0 states/eV/f.u.
data_ZrIr2C
_cell_length_a 5.470
_cell_length_b 5.470
_cell_length_c 5.470
_cell_angle_alpha 103.01
_cell_angle_beta 103.01
_cell_angle_gamma 123.34
_symmetry_space_group_name_H-M 'P 1'
_symmetry_Int_Tables_number 1
loop_
_symmetry_equiv_pos_as_xyz
'x,y,z'
loop_
_atom_site_label
_atom_site_fract_x
_atom_site_fract_y
_atom_site_fract_z
Zr1 0.000 0.000 0.000
Zr2 0.750 0.250 0.500
Ir1 0.246 0.625 0.121
Ir2 0.375 0.496 0.621
Ir3 0.504 0.125 0.879
Ir4 0.875 0.754 0.379
C1 0.250 0.750 0.500
C2 0.500 0.500 0.000

# PBE RbAgHBr2, optimized geometry
# Energy above the most stable polymorph in this dataset = 0 meV per atom
# Density of states at the Fermi level = 1.7 states/eV/f.u.
data_RbAgHBr2
_cell_length_a 5.694
_cell_length_b 5.694
_cell_length_c 3.811
_cell_angle_alpha 90.00
_cell_angle_beta 90.00
_cell_angle_gamma 90.00
_symmetry_space_group_name_H-M 'P 1'
_symmetry_Int_Tables_number 1
loop_
_symmetry_equiv_pos_as_xyz
'x,y,z'
loop_
_atom_site_label
_atom_site_fract_x
_atom_site_fract_y
_atom_site_fract_z
Rb1 0.000 0.000 0.000
Ag1 0.500 0.500 0.500
H1 0.500 0.500 0.000
Br1 0.000 0.500 0.500
Br2 0.500 0.000 0.500

# PBE PC, optimized geometry
# Energy above the most stable polymorph in this dataset = 450 meV per atom
# Density of states at the Fermi level = 0.9 states/eV/f.u.
data_PC
_cell_length_a 5.004
_cell_length_b 5.004
_cell_length_c 2.956
_cell_angle_alpha 90.95
_cell_angle_beta 90.95
_cell_angle_gamma 61.88
_symmetry_space_group_name_H-M 'P 1'
_symmetry_Int_Tables_number 1
loop_
_symmetry_equiv_pos_as_xyz
'x,y,z'
loop_
_atom_site_label
_atom_site_fract_x
_atom_site_fract_y
_atom_site_fract_z
P1 0.217 0.783 0.000
P2 0.783 0.217 0.000
C1 0.277 0.550 0.495
C2 0.550 0.277 0.495

# PBE ZnInC3, optimized geometry
# Energy above the most stable polymorph in this dataset = 500 meV per atom
# Density of states at the Fermi level = 3.8 states/eV/f.u.
data_ZnInC3
_cell_length_a 4.352
_cell_length_b 4.352
_cell_length_c 4.352
_cell_angle_alpha 90.00
_cell_angle_beta 90.00
_cell_angle_gamma 90.00
_symmetry_space_group_name_H-M 'P 1'
_symmetry_Int_Tables_number 1
loop_
_symmetry_equiv_pos_as_xyz
'x,y,z'
loop_
_atom_site_label
_atom_site_fract_x
_atom_site_fract_y
_atom_site_fract_z
Zn1 0.000 0.000 0.000
In1 0.500 0.500 0.500
C1 0.000 0.500 0.500
C2 0.500 0.000 0.500
C3 0.500 0.500 0.000

# PBE Na2HoCuF8, optimized geometry
# Formation energy (no corrections) = -2760 meV/atom
data_Na2HoCuF8
_cell_length_a 3.647
_cell_length_b 5.304
_cell_length_c 8.709
_cell_angle_alpha 95.59
_cell_angle_beta 90.25
_cell_angle_gamma 93.07
_symmetry_space_group_name_H-M 'P 1'
_symmetry_Int_Tables_number 1
loop_
_symmetry_equiv_pos_as_xyz
'x,y,z'
loop_
_atom_site_label
_atom_site_fract_x
_atom_site_fract_y
_atom_site_fract_z
Na1 0.006 0.028 0.270
Na2 0.994 0.972 0.730
Ho1 0.500 0.500 0.000
Cu1 0.500 0.500 0.500
F1 0.008 0.694 0.921
F2 0.138 0.269 0.535
F3 0.459 0.664 0.687
F4 0.490 0.810 0.178
F5 0.510 0.190 0.822
F6 0.541 0.336 0.313
F7 0.862 0.731 0.465
F8 0.992 0.306 0.079

# PBE TaSiAsBr2, optimized geometry
# Energy above the most stable polymorph in this dataset = 485 meV per atom
# Density of states at the Fermi level = 4.1 states/eV/f.u.
# Formation energy (no corrections) = 1045 meV/atom
data_TaSiAsBr2
_cell_length_a 4.862
_cell_length_b 4.862
_cell_length_c 5.041
_cell_angle_alpha 90.00
_cell_angle_beta 90.00
_cell_angle_gamma 90.00
_symmetry_space_group_name_H-M 'P 1'
_symmetry_Int_Tables_number 1
loop_
_symmetry_equiv_pos_as_xyz
'x,y,z'
loop_
_atom_site_label
_atom_site_fract_x
_atom_site_fract_y
_atom_site_fract_z
Ta1 0.000 0.000 0.000
Si1 0.500 0.500 0.500
As1 0.500 0.500 0.000
Br1 0.000 0.500 0.500
Br2 0.500 0.000 0.500

# PBE ScCuBi3, optimized geometry
# Energy above the most stable polymorph in this dataset = 257 meV per atom
# Density of states at the Fermi level = 4.9 states/eV/f.u.
data_ScCuBi3
_cell_length_a 5.555
_cell_length_b 5.555
_cell_length_c 5.555
_cell_angle_alpha 90.00
_cell_angle_beta 90.00
_cell_angle_gamma 90.00
_symmetry_space_group_name_H-M 'P 1'
_symmetry_Int_Tables_number 1
loop_
_symmetry_equiv_pos_as_xyz
'x,y,z'
loop_
_atom_site_label
_atom_site_fract_x
_atom_site_fract_y
_atom_site_fract_z
Sc1 0.000 0.000 0.000
Cu1 0.500 0.500 0.500
Bi1 0.000 0.000 0.500
Bi2 0.000 0.500 0.000
Bi3 0.500 0.000 0.000

# PBE RbDyMgI6, optimized geometry
# Density of states at the Fermi level = 0.0 states/eV/f.u.
# Formation energy (no corrections) = -1299 meV/atom
data_RbDyMgI6
_cell_length_a 7.757
_cell_length_b 7.757
_cell_length_c 16.475
_cell_angle_alpha 90.00
_cell_angle_beta 90.00
_cell_angle_gamma 120.00
_symmetry_space_group_name_H-M 'P 1'
_symmetry_Int_Tables_number 1
loop_
_symmetry_equiv_pos_as_xyz
'x,y,z'
loop_
_atom_site_label
_atom_site_fract_x
_atom_site_fract_y
_atom_site_fract_z
Rb1 0.000 0.000 0.000
Rb2 0.000 0.000 0.500
Dy1 0.333 0.667 0.250
Dy2 0.667 0.333 0.750
Mg1 0.333 0.667 0.750
Mg2 0.667 0.333 0.250
I1 0.008 0.376 0.645
I2 0.008 0.633 0.855
I3 0.367 0.376 0.855
I4 0.367 0.992 0.645
I5 0.376 0.008 0.145
I6 0.376 0.367 0.355
I7 0.624 0.633 0.645
I8 0.624 0.992 0.855
I9 0.633 0.008 0.355
I10 0.633 0.624 0.145
I11 0.992 0.367 0.145
I12 0.992 0.624 0.355